(1)
Below is an optimized crystal structure of Ce2Ga2Pt15, with properties calculated at the PBE level.

a b c (Å): 7.0033 7.0033 7.0033
angles (deg): 83.45 83.45 83.45
Last column: nearest neighbours and their distance in Å.
Fractional coordinates of all 19 atoms:
Pt 0.3395 0.3395 0.8357  8 Pt 2.67-2.76, 1 Ga 2.88
Pt 0.0000 0.0000 0.5000  8 Pt 2.70, 2 Ga 2.84
Pt 0.6771 0.0000 0.3229  8 Pt 2.70-3.01
Pt 0.6605 0.1643 0.6605  8 Pt 2.67-2.76, 1 Ga 2.88
Pt 0.6771 0.3229 0.0000  8 Pt 2.70-3.01
Pt 0.0000 0.5000 0.0000  8 Pt 2.70, 2 Ga 2.84
Pt 0.0000 0.6771 0.3229  8 Pt 2.70-3.01
Pt 0.6605 0.6605 0.1643  8 Pt 2.67-2.76, 1 Ga 2.88
Pt 0.3395 0.8357 0.3395  8 Pt 2.67-2.76, 1 Ga 2.88
Pt 0.8357 0.3395 0.3395  8 Pt 2.67-2.76, 1 Ga 2.88
Pt 0.3229 0.6771 0.0000  8 Pt 2.70-3.01
Pt 0.0000 0.3229 0.6771  8 Pt 2.70-3.01
Pt 0.1643 0.6605 0.6605  8 Pt 2.67-2.76, 1 Ga 2.88
Pt 0.5000 0.0000 0.0000  8 Pt 2.70, 2 Ga 2.84
Pt 0.3229 0.0000 0.6771  8 Pt 2.70-3.01
Ga 0.9003 0.9003 0.9003  1 Ga 2.68, 6 Pt 2.84-2.88
Ga 0.0997 0.0997 0.0997  1 Ga 2.68, 6 Pt 2.84-2.88
Ce 0.6540 0.6540 0.6540  12 Pt 3.16-3.42, 1 Ga 3.31
Ce 0.3460 0.3460 0.3460  12 Pt 3.16-3.42, 1 Ga 3.31

space-group type = R-3m (166)
magnetization = 0.023 μB per atom
uncorrected energy = -6.23 eV/atom

(2)
Below is an optimized crystal structure of CeGa6Pt4, with properties calculated at the PBE level.

a b c (Å): 4.0401 7.4218 7.4218
angles (deg): 120.00 90.00 90.00
Last column: nearest neighbours and their distance in Å.
Fractional coordinates of all 11 atoms:
Ga 0.0000 0.9337 0.4669  5 Pt 2.57-2.65
Ga 0.0000 0.5331 0.0663  5 Pt 2.57-2.65
Ga 0.0000 0.5331 0.4669  5 Pt 2.57-2.65
Ga 0.5000 0.1970 0.3941  4 Pt 2.56-2.67
Ga 0.5000 0.1970 0.8030  4 Pt 2.56-2.67
Ga 0.5000 0.6059 0.8030  4 Pt 2.56-2.67
Pt 0.5000 0.4014 0.2007  6 Ga 2.56-2.65
Pt 0.5000 0.7993 0.5986  6 Ga 2.56-2.65
Pt 0.5000 0.7993 0.2007  6 Ga 2.56-2.65
Pt 0.0000 0.3333 0.6667  9 Ga 2.57-2.67
Ce 0.0000 0.0000 0.0000  6 Ga 3.24, 6 Pt 3.28

space-group type = P-6m2 (187)
magnetization = 0.064 μB per atom
uncorrected energy = -5.14 eV/atom

(3)
Below is an optimized crystal structure of Ce2GaPt9, with properties calculated at the PBE level.

a b c (Å): 4.1221 4.1221 12.1552
angles (deg): 90.00 90.00 90.00
Last column: nearest neighbours and their distance in Å.
Fractional coordinates of all 12 atoms:
Pt 0.5000 0.0000 0.1559  8 Pt 2.80-2.92, 2 Ga 2.80, 2 Ce 2.92
Pt 0.5000 0.0000 0.8441  8 Pt 2.80-2.92, 2 Ga 2.80, 2 Ce 2.92
Pt 0.5000 0.5000 0.3262  4 Ce 2.91, 8 Pt 2.92-2.95
Pt 0.5000 0.5000 0.6738  4 Ce 2.91, 8 Pt 2.92-2.95
Pt 0.0000 0.5000 0.8441  2 Ga 2.80, 8 Pt 2.80-2.92, 2 Ce 2.92
Pt 0.5000 0.5000 0.0000  8 Pt 2.80, 4 Ga 2.91
Pt 0.0000 0.5000 0.5000  8 Pt 2.91-2.95, 4 Ce 2.95
Pt 0.0000 0.5000 0.1559  2 Ga 2.80, 8 Pt 2.80-2.92, 2 Ce 2.92
Pt 0.5000 0.0000 0.5000  8 Pt 2.91-2.95, 4 Ce 2.95
Ce 0.0000 0.0000 0.3264  12 Pt 2.91-2.95
Ce 0.0000 0.0000 0.6736  12 Pt 2.91-2.95
Ga 0.0000 0.0000 0.0000  12 Pt 2.80-2.91

space-group type = P4/mmm (123)
magnetization = 0.012 μB per atom
uncorrected energy = -6.57 eV/atom

> Among the records above, which one has the highest magnetization?

CeGa6Pt4

> Which formula does entry 2 have?

CeGa6Pt4